(1)
A relaxed structure of BaMgAg4, computed with PBE.

Lattice parameters (Å, degrees): 5.830 5.830 5.830 60.00 60.00 60.00
Sites, in units of the cell vectors:
Ba (0.000, 0.000, 0.000)
Mg (0.750, 0.750, 0.750)
Ag (0.376, 0.376, 0.376)
Ag (0.376, 0.376, 0.871)
Ag (0.376, 0.871, 0.376)
Ag (0.871, 0.376, 0.376)

Values from the calculation:
- D(E_F) (states/eV/atom) = 1.23
- relative energy among the computed polymorphs (meV/atom) = 0.0
- symmetry = F-43m
- volume (Å³/cell) = 140.1

(2)
A relaxed structure of BaMg10Ag2, computed with PBE.

Lattice parameters (Å, degrees): 10.418 7.966 7.858 82.35 49.27 48.38
Sites, in units of the cell vectors:
Ba (0.000, 0.000, 0.000)
Mg (0.000, 0.000, 0.500)
Mg (0.011, 0.352, 0.648)
Mg (0.278, 0.490, 0.510)
Mg (0.352, 0.011, 0.989)
Mg (0.490, 0.278, 0.722)
Mg (0.500, 0.500, 0.000)
Mg (0.510, 0.722, 0.278)
Mg (0.648, 0.989, 0.011)
Mg (0.722, 0.510, 0.490)
Mg (0.989, 0.648, 0.352)
Ag (0.000, 0.500, 0.000)
Ag (0.500, 0.000, 0.500)

Values from the calculation:
- D(E_F) (states/eV/atom) = 0.58
- symmetry = Fmmm
- volume (Å³/cell) = 313.2
- uncorrected energy (eV per atom) = -1.918

(3)
A relaxed structure of BaMg2Ag, computed with PBE.

Lattice parameters (Å, degrees): 3.598 3.598 8.646 90.00 90.00 90.00
Sites, in units of the cell vectors:
Ba (0.000, 0.000, 0.000)
Mg (0.500, 0.500, 0.324)
Mg (0.500, 0.500, 0.676)
Ag (0.000, 0.000, 0.500)

Values from the calculation:
- D(E_F) (states/eV/atom) = 0.54
- symmetry = P4/mmm
- volume (Å³/cell) = 111.9
- uncorrected energy (eV per atom) = -2.063

(4)
A relaxed structure of Ba4MgAg, computed with PBE.

Lattice parameters (Å, degrees): 4.267 4.267 15.353 90.00 90.00 90.00
Sites, in units of the cell vectors:
Ba (0.000, 0.000, 0.126)
Ba (0.000, 0.000, 0.874)
Ba (0.500, 0.500, 0.357)
Ba (0.500, 0.500, 0.643)
Mg (0.000, 0.000, 0.500)
Ag (0.500, 0.500, 0.000)

Values from the calculation:
- D(E_F) (states/eV/atom) = 1.27
- relative energy among the computed polymorphs (meV/atom) = 0.0
- symmetry = P4/mmm
- volume (Å³/cell) = 279.6

(5)
A relaxed structure of Ba3Mg4Ag4, computed with PBE.

Lattice parameters (Å, degrees): 7.579 7.579 7.579 109.47 109.47 109.47
Sites, in units of the cell vectors:
Ba (0.000, 0.500, 0.500)
Ba (0.500, 0.000, 0.500)
Ba (0.500, 0.500, 0.000)
Mg (0.000, 0.000, 0.743)
Mg (0.000, 0.743, 0.000)
Mg (0.257, 0.257, 0.257)
Mg (0.743, 0.000, 0.000)
Ag (0.000, 0.000, 0.379)
Ag (0.000, 0.379, 0.000)
Ag (0.379, 0.000, 0.000)
Ag (0.621, 0.621, 0.621)

Values from the calculation:
- D(E_F) (states/eV/atom) = 0.65
- relative energy among the computed polymorphs (meV/atom) = 29.3
- symmetry = I-43m
- volume (Å³/cell) = 335.1

(6)
A relaxed structure of Ba2Mg6Ag3, computed with PBE.

Lattice parameters (Å, degrees): 8.763 8.763 4.661 90.00 90.00 120.00
Sites, in units of the cell vectors:
Ba (0.333, 0.667, 0.000)
Ba (0.667, 0.333, 0.000)
Mg (0.000, 0.280, 0.500)
Mg (0.000, 0.801, 0.000)
Mg (0.199, 0.199, 0.000)
Mg (0.280, 0.000, 0.500)
Mg (0.720, 0.720, 0.500)
Mg (0.801, 0.000, 0.000)
Ag (0.000, 0.619, 0.500)
Ag (0.381, 0.381, 0.500)
Ag (0.619, 0.000, 0.500)

Values from the calculation:
- D(E_F) (states/eV/atom) = 0.54
- symmetry = P-62m
- volume (Å³/cell) = 310.0
- uncorrected energy (eV per atom) = -2.132

(7)
A relaxed structure of BaMg2Ag, computed with PBE.

Lattice parameters (Å, degrees): 5.451 5.451 5.451 118.85 118.85 92.01
Sites, in units of the cell vectors:
Ba (0.000, 0.000, 0.000)
Mg (0.250, 0.750, 0.500)
Mg (0.500, 0.500, 0.000)
Ag (0.750, 0.250, 0.500)

Values from the calculation:
- D(E_F) (states/eV/atom) = 1.18
- symmetry = I-4m2
- volume (Å³/cell) = 116.5
- uncorrected energy (eV per atom) = -2.018

(8)
A relaxed structure of Ba6Mg15Ag8, computed with PBE.

Lattice parameters (Å, degrees): 10.633 10.633 10.633 60.00 60.00 60.00
Sites, in units of the cell vectors:
Ba (0.237, 0.237, 0.763)
Ba (0.237, 0.763, 0.237)
Ba (0.237, 0.763, 0.763)
Ba (0.763, 0.237, 0.237)
Ba (0.763, 0.237, 0.763)
Ba (0.763, 0.763, 0.237)
Mg (0.000, 0.000, 0.500)
Mg (0.000, 0.500, 0.000)
Mg (0.000, 0.500, 0.500)
Mg (0.174, 0.174, 0.174)
Mg (0.174, 0.174, 0.478)
Mg (0.174, 0.478, 0.174)
Mg (0.478, 0.174, 0.174)
Mg (0.500, 0.000, 0.000)
Mg (0.500, 0.000, 0.500)
Mg (0.500, 0.500, 0.000)
Mg (0.500, 0.500, 0.500)
Mg (0.522, 0.826, 0.826)
Mg (0.826, 0.522, 0.826)
Mg (0.826, 0.826, 0.522)
Mg (0.826, 0.826, 0.826)
Ag (0.083, 0.639, 0.639)
Ag (0.361, 0.361, 0.361)
Ag (0.361, 0.361, 0.917)
Ag (0.361, 0.917, 0.361)
Ag (0.639, 0.083, 0.639)
Ag (0.639, 0.639, 0.083)
Ag (0.639, 0.639, 0.639)
Ag (0.917, 0.361, 0.361)

Values from the calculation:
- D(E_F) (states/eV/atom) = 0.73
- symmetry = Fm-3m
- volume (Å³/cell) = 850.2
- uncorrected energy (eV per atom) = -2.136

no.,M_tot (μB/f.u.)
1,0.0
2,0.0
3,0.0
4,0.0
5,0.0
6,0.0
7,0.0
8,0.0